[1]
# SrScPb2 PBEsol relaxed
# - ΔE_f (eV per atom) = -0.3223
data_SrScPb2
_chemical_formula_sum 'Sr1 Sc1 Pb2'
_cell_length_a 5.569
_cell_length_b 5.569
_cell_length_c 3.635
_cell_angle_alpha 90.00
_cell_angle_beta 90.00
_cell_angle_gamma 90.00
_space_group_name_H-M_alt 'P 4 m m'
_space_group_IT_number 99
_space_group_name_Hall 'P 4 -2'
loop_
_atom_site_label
_atom_site_type_symbol
_atom_site_fract_x
_atom_site_fract_y
_atom_site_fract_z
Sr1 Sr 0.000 0.000 0.000
Sc1 Sc 0.500 0.500 0.879
Pb1 Pb 0.000 0.500 0.480

---

[2]
# ScBiF2 PBEsol relaxed
# - formation energy without anion corrections (eV per atom) = -2.2570
data_ScBiF2
_chemical_formula_sum 'Sc3 Bi3 F6'
_cell_length_a 3.2947
_cell_length_b 3.2947
_cell_length_c 26.9370
_cell_angle_alpha 90.00
_cell_angle_beta 90.00
_cell_angle_gamma 120.00
_space_group_name_H-M_alt 'R -3 m'
_space_group_IT_number 166
_space_group_name_Hall '-R 3 2"'
loop_
_atom_site_label
_atom_site_type_symbol
_atom_site_fract_x
_atom_site_fract_y
_atom_site_fract_z
Sc1 Sc 0.0000 0.0000 0.0000
Bi1 Bi 0.0000 0.0000 0.5000
F1 F 0.0000 0.0000 0.3707

---

[3]
# LiCdRu2 PBEsol relaxed
# - ΔE_f (eV per atom) = 0.3197
data_LiCdRu2
_chemical_formula_sum 'Li1 Cd1 Ru2'
_cell_length_a 2.844
_cell_length_b 4.372
_cell_length_c 4.656
_cell_angle_alpha 90.00
_cell_angle_beta 90.00
_cell_angle_gamma 90.00
_space_group_name_H-M_alt 'P m m m'
_space_group_IT_number 47
_space_group_name_Hall '-P 2 2'
loop_
_atom_site_label
_atom_site_type_symbol
_atom_site_fract_x
_atom_site_fract_y
_atom_site_fract_z
Li1 Li 0.000 0.000 0.000
Cd1 Cd 0.500 0.500 0.000
Ru1 Ru 0.000 0.500 0.500
Ru2 Ru 0.500 0.000 0.500

---

[4]
# LiMg2Cu PBEsol relaxed
# - ΔE_f (eV per atom) = -0.0079
data_LiMg2Cu
_chemical_formula_sum 'Li2 Mg4 Cu2'
_cell_length_a 3.906
_cell_length_b 3.906
_cell_length_c 8.705
_cell_angle_alpha 90.00
_cell_angle_beta 90.00
_cell_angle_gamma 90.00
_space_group_name_H-M_alt 'I -4 m 2'
_space_group_IT_number 119
_space_group_name_Hall 'I -4 -2'
loop_
_atom_site_label
_atom_site_type_symbol
_atom_site_fract_x
_atom_site_fract_y
_atom_site_fract_z
Li1 Li 0.000 0.000 0.000
Mg1 Mg 0.000 0.000 0.500
Mg2 Mg 0.000 0.500 0.250
Cu1 Cu 0.000 0.500 0.750

---

[5]
# NiAu3 PBEsol relaxed
# - ΔE_f (eV per atom) = 0.0777
data_NiAu3
_chemical_formula_sum 'Ni2 Au6'
_cell_length_a 4.627
_cell_length_b 5.542
_cell_length_c 4.802
_cell_angle_alpha 90.00
_cell_angle_beta 90.00
_cell_angle_gamma 90.00
_space_group_name_H-M_alt 'P m m n'
_space_group_IT_number 59
loop_
_space_group_symop_operation_xyz
'x,y,z'
'-x,-y,-z'
'-x+1/2,-y+1/2,z'
'x+1/2,y+1/2,-z'
'x+1/2,-y,-z'
'-x+1/2,y,z'
'-x,y+1/2,-z'
'x,-y+1/2,z'
loop_
_atom_site_label
_atom_site_type_symbol
_atom_site_fract_x
_atom_site_fract_y
_atom_site_fract_z
Ni1 Ni 0.250 0.250 0.167
Au1 Au 0.250 0.002 0.667
Au2 Au 0.250 0.750 0.155

---

[6]
# LaZnSb PBEsol relaxed
# - formation energy without anion corrections (eV per atom) = -0.7785
data_LaZnSb
_chemical_formula_sum 'La1 Zn1 Sb1'
_cell_length_a 4.4505
_cell_length_b 4.4505
_cell_length_c 4.4314
_cell_angle_alpha 90.00
_cell_angle_beta 90.00
_cell_angle_gamma 120.00
_space_group_name_H-M_alt 'P 3 m 1'
_space_group_IT_number 156
_space_group_name_Hall 'P 3 -2"'
loop_
_atom_site_label
_atom_site_type_symbol
_atom_site_fract_x
_atom_site_fract_y
_atom_site_fract_z
La1 La 0.0000 0.0000 0.0000
Zn1 Zn 0.6667 0.3333 0.3565
Sb1 Sb 0.3333 0.6667 0.5325

---

[7]
# CaAs2Se PBEsol relaxed
# - formation energy without anion corrections (eV per atom) = -0.5747
data_CaAs2Se
_chemical_formula_sum 'Ca2 As4 Se2'
_cell_length_a 3.893
_cell_length_b 4.042
_cell_length_c 10.646
_cell_angle_alpha 90.00
_cell_angle_beta 90.00
_cell_angle_gamma 90.00
_space_group_name_H-M_alt 'I m m m'
_space_group_IT_number 71
_space_group_name_Hall '-I 2 2'
loop_
_atom_site_label
_atom_site_type_symbol
_atom_site_fract_x
_atom_site_fract_y
_atom_site_fract_z
Ca1 Ca 0.000 0.000 0.000
As1 As 0.000 0.500 0.241
Se1 Se 0.000 0.000 0.500

---

[8]
# Rb2CrRePt PBEsol relaxed
# - ΔE_f (eV per atom) = 1.7069
data_Rb2CrRePt
_chemical_formula_sum 'Rb2 Cr1 Re1 Pt1'
_cell_length_a 6.280
_cell_length_b 6.280
_cell_length_c 4.770
_cell_angle_alpha 90.00
_cell_angle_beta 90.00
_cell_angle_gamma 90.00
_space_group_name_H-M_alt 'P 4/m m m'
_space_group_IT_number 123
_space_group_name_Hall '-P 4 2'
loop_
_atom_site_label
_atom_site_type_symbol
_atom_site_fract_x
_atom_site_fract_y
_atom_site_fract_z
Rb1 Rb 0.000 0.500 0.000
Cr1 Cr 0.000 0.000 0.500
Re1 Re 0.500 0.500 0.500
Pt1 Pt 0.500 0.500 0.000

---

[9]
# YZnW2 PBEsol relaxed
# - ΔE_f (eV per atom) = 0.4571
data_YZnW2
_chemical_formula_sum 'Y2 Zn2 W4'
_cell_length_a 10.322
_cell_length_b 2.778
_cell_length_c 5.029
_cell_angle_alpha 90.00
_cell_angle_beta 104.63
_cell_angle_gamma 90.00
_space_group_name_H-M_alt 'C 1 2/m 1'
_space_group_IT_number 12
_space_group_name_Hall '-C 2y'
loop_
_atom_site_label
_atom_site_type_symbol
_atom_site_fract_x
_atom_site_fract_y
_atom_site_fract_z
Y1 Y 0.000 0.000 0.000
Zn1 Zn 0.000 0.500 0.500
W1 W 0.228 0.000 0.728

---

[10]
# FeRu2Cl PBEsol relaxed
# - formation energy without anion corrections (eV per atom) = 0.4286
data_FeRu2Cl
_chemical_formula_sum 'Fe3 Ru6 Cl3'
_cell_length_a 2.7704
_cell_length_b 2.7704
_cell_length_c 23.8314
_cell_angle_alpha 90.00
_cell_angle_beta 90.00
_cell_angle_gamma 120.00
_space_group_name_H-M_alt 'R -3 m'
_space_group_IT_number 166
_space_group_name_Hall '-R 3 2"'
loop_
_atom_site_label
_atom_site_type_symbol
_atom_site_fract_x
_atom_site_fract_y
_atom_site_fract_z
Fe1 Fe 0.0000 0.0000 0.0000
Ru1 Ru 0.0000 0.0000 0.2517
Cl1 Cl 0.0000 0.0000 0.5000

---

[11]
# KSr PBEsol relaxed
# - ΔE_f (eV per atom) = 0.4315
data_KSr
_chemical_formula_sum 'K2 Sr2'
_cell_length_a 6.5313
_cell_length_b 6.5313
_cell_length_c 7.3710
_cell_angle_alpha 90.00
_cell_angle_beta 90.00
_cell_angle_gamma 120.00
_space_group_name_H-M_alt 'P 63/m m c'
_space_group_IT_number 194
_space_group_name_Hall '-P 6c 2c'
loop_
_atom_site_label
_atom_site_type_symbol
_atom_site_fract_x
_atom_site_fract_y
_atom_site_fract_z
K1 K 0.0000 0.0000 0.0000
Sr1 Sr 0.3333 0.6667 0.2500

---

[12]
# Li2GaPd2 PBEsol relaxed
# - ΔE_f (eV per atom) = -0.2406
data_Li2GaPd2
_chemical_formula_sum 'Li4 Ga2 Pd4'
_cell_length_a 3.158
_cell_length_b 3.158
_cell_length_c 13.889
_cell_angle_alpha 90.00
_cell_angle_beta 90.00
_cell_angle_gamma 90.00
_space_group_name_H-M_alt 'I 4/m m m'
_space_group_IT_number 139
_space_group_name_Hall '-I 4 2'
loop_
_atom_site_label
_atom_site_type_symbol
_atom_site_fract_x
_atom_site_fract_y
_atom_site_fract_z
Li1 Li 0.000 0.500 0.250
Ga1 Ga 0.000 0.000 0.000
Pd1 Pd 0.000 0.000 0.400

---

[13]
# ScNi2MoPt PBEsol relaxed
# - ΔE_f (eV per atom) = 1.4523
data_ScNi2MoPt
_chemical_formula_sum 'Sc1 Ni2 Mo1 Pt1'
_cell_length_a 4.207
_cell_length_b 4.207
_cell_length_c 4.548
_cell_angle_alpha 90.00
_cell_angle_beta 90.00
_cell_angle_gamma 90.00
_space_group_name_H-M_alt 'P 4/m m m'
_space_group_IT_number 123
_space_group_name_Hall '-P 4 2'
loop_
_atom_site_label
_atom_site_type_symbol
_atom_site_fract_x
_atom_site_fract_y
_atom_site_fract_z
Sc1 Sc 0.000 0.000 0.000
Ni1 Ni 0.000 0.500 0.000
Mo1 Mo 0.000 0.000 0.500
Pt1 Pt 0.500 0.500 0.500

---

[14]
# TcSb3Pt PBEsol relaxed
# - formation energy without anion corrections (eV per atom) = 0.7333
data_TcSb3Pt
_chemical_formula_sum 'Tc1 Sb3 Pt1'
_cell_length_a 4.991
_cell_length_b 4.991
_cell_length_c 4.991
_cell_angle_alpha 90.00
_cell_angle_beta 90.00
_cell_angle_gamma 90.00
_space_group_name_H-M_alt 'P m -3 m'
_space_group_IT_number 221
_space_group_name_Hall '-P 4 2 3'
loop_
_atom_site_label
_atom_site_type_symbol
_atom_site_fract_x
_atom_site_fract_y
_atom_site_fract_z
Tc1 Tc 0.000 0.000 0.000
Sb1 Sb 0.000 0.000 0.500
Pt1 Pt 0.500 0.500 0.500

---

[15]
# Co2Tc2Ir PBEsol relaxed
# - ΔE_f (eV per atom) = 0.5228
data_Co2Tc2Ir
_chemical_formula_sum 'Co4 Tc4 Ir2'
_cell_length_a 3.717
_cell_length_b 3.717
_cell_length_c 9.640
_cell_angle_alpha 90.00
_cell_angle_beta 90.00
_cell_angle_gamma 90.00
_space_group_name_H-M_alt 'I 4/m m m'
_space_group_IT_number 139
_space_group_name_Hall '-I 4 2'
loop_
_atom_site_label
_atom_site_type_symbol
_atom_site_fract_x
_atom_site_fract_y
_atom_site_fract_z
Co1 Co 0.000 0.000 0.104
Tc1 Tc 0.000 0.500 0.250
Ir1 Ir 0.000 0.000 0.500

---

[16]
# KSb2Te PBEsol relaxed
# - formation energy without anion corrections (eV per atom) = -0.2255
data_KSb2Te
_chemical_formula_sum 'K2 Sb4 Te2'
_cell_length_a 11.981
_cell_length_b 4.027
_cell_length_c 6.852
_cell_angle_alpha 90.00
_cell_angle_beta 121.51
_cell_angle_gamma 90.00
_space_group_name_H-M_alt 'C 1 m 1'
_space_group_IT_number 8
_space_group_name_Hall 'C -2y'
loop_
_atom_site_label
_atom_site_type_symbol
_atom_site_fract_x
_atom_site_fract_y
_atom_site_fract_z
K1 K 0.000 0.000 0.000
Sb1 Sb 0.068 0.500 0.620
Sb2 Sb 0.364 0.500 0.370
Te1 Te 0.248 0.000 0.560

---

[17]
# YTaRu PBEsol relaxed
# - ΔE_f (eV per atom) = 0.6313
data_YTaRu
_chemical_formula_sum 'Y4 Ta4 Ru4'
_cell_length_a 6.280
_cell_length_b 6.280
_cell_length_c 6.280
_cell_angle_alpha 90.00
_cell_angle_beta 90.00
_cell_angle_gamma 90.00
_space_group_name_H-M_alt 'F -4 3 m'
_space_group_IT_number 216
_space_group_name_Hall 'F -4 2 3'
loop_
_atom_site_label
_atom_site_type_symbol
_atom_site_fract_x
_atom_site_fract_y
_atom_site_fract_z
Y1 Y 0.000 0.000 0.000
Ta1 Ta 0.250 0.250 0.750
Ru1 Ru 0.000 0.000 0.500

---

[18]
# La2AgTePb PBEsol relaxed
# - formation energy without anion corrections (eV per atom) = 0.4095
data_La2AgTePb
_chemical_formula_sum 'La2 Ag1 Te1 Pb1'
_cell_length_a 6.027
_cell_length_b 6.027
_cell_length_c 5.727
_cell_angle_alpha 90.00
_cell_angle_beta 90.00
_cell_angle_gamma 90.00
_space_group_name_H-M_alt 'P 4/m m m'
_space_group_IT_number 123
_space_group_name_Hall '-P 4 2'
loop_
_atom_site_label
_atom_site_type_symbol
_atom_site_fract_x
_atom_site_fract_y
_atom_site_fract_z
La1 La 0.000 0.500 0.000
Ag1 Ag 0.000 0.000 0.500
Te1 Te 0.500 0.500 0.500
Pb1 Pb 0.500 0.500 0.000

---

[19]
# Ni2HgO PBEsol relaxed
# - formation energy without anion corrections (eV per atom) = 0.5257
data_Ni2HgO
_chemical_formula_sum 'Ni8 Hg4 O4'
_cell_length_a 5.833
_cell_length_b 5.833
_cell_length_c 5.833
_cell_angle_alpha 90.00
_cell_angle_beta 90.00
_cell_angle_gamma 90.00
_space_group_name_H-M_alt 'F m -3 m'
_space_group_IT_number 225
_space_group_name_Hall '-F 4 2 3'
loop_
_atom_site_label
_atom_site_type_symbol
_atom_site_fract_x
_atom_site_fract_y
_atom_site_fract_z
Ni1 Ni 0.250 0.250 0.250
Hg1 Hg 0.000 0.000 0.000
O1 O 0.000 0.000 0.500

---

[20]
# Er6Te2Ru PBEsol relaxed
# - formation energy without anion corrections (eV per atom) = -0.7611
data_Er6Te2Ru
_chemical_formula_sum 'Er6 Te2 Ru1'
_cell_length_a 8.1275
_cell_length_b 8.1275
_cell_length_c 3.9100
_cell_angle_alpha 90.00
_cell_angle_beta 90.00
_cell_angle_gamma 120.00
_space_group_name_H-M_alt 'P -6 2 m'
_space_group_IT_number 189
_space_group_name_Hall 'P -6 -2'
loop_
_atom_site_label
_atom_site_type_symbol
_atom_site_fract_x
_atom_site_fract_y
_atom_site_fract_z
Er1 Er 0.0000 0.2402 0.0000
Er2 Er 0.0000 0.6071 0.5000
Te1 Te 0.3333 0.6667 0.0000
Ru1 Ru 0.0000 0.0000 0.5000